# 1
{
  "formula": "Cu3PdAu3",
  "functional": "PBE",
  "state": "relaxed",
  "lattice": [[7.381, 0.000, 0.000], [3.690, 6.392, 0.000], [3.690, 2.131, 4.514]],
  "species": ["Au", "Au", "Au", "Au", "Au", "Au", "Pd", "Pd", "Cu", "Cu", "Cu", "Cu", "Cu", "Cu"],
  "frac_coords": [[0.328, 0.054, 0.745], [0.672, 0.946, 0.255], [0.127, 0.672, 0.255], [0.946, 0.127, 0.255], [0.873, 0.328, 0.745], [0.054, 0.873, 0.745], [0.741, 0.741, 0.778], [0.259, 0.259, 0.222], [0.400, 0.812, 0.255], [0.188, 0.467, 0.745], [0.533, 0.400, 0.255], [0.467, 0.600, 0.745], [0.600, 0.188, 0.745], [0.812, 0.533, 0.255]],
  "crystal_system": "trigonal",
  "final_energy_ev_per_atom": -3.956,
  "total_magnetization_mub_per_fu": 0.000
}

# 2
{
  "formula": "Ca2CoGeN",
  "functional": "PBE",
  "state": "relaxed",
  "lattice": [[5.101, 0.000, 0.000], [0.000, 5.101, 0.000], [0.000, 0.000, 3.528]],
  "species": ["N", "Ca", "Ca", "Ge", "Co"],
  "frac_coords": [[0.000, 0.000, 0.000], [0.000, 0.500, 0.000], [0.500, 0.000, 0.000], [0.500, 0.500, 0.500], [0.000, 0.000, 0.500]],
  "crystal_system": "tetragonal",
  "formation_energy_uncorrected_ev_per_atom": -0.531,
  "total_magnetization_mub_per_fu": 0.028
}

# 3
{
  "formula": "Tl2CuNiAu",
  "functional": "PBE",
  "state": "relaxed",
  "lattice": [[4.975, 0.000, 0.000], [0.000, 4.926, 0.000], [0.000, 0.000, 4.975]],
  "species": ["Tl", "Tl", "Au", "Ni", "Cu"],
  "frac_coords": [[0.500, 0.000, 0.000], [0.000, 0.000, 0.500], [0.000, 0.500, 0.000], [0.000, 0.000, 0.000], [0.500, 0.500, 0.500]],
  "crystal_system": "tetragonal",
  "final_energy_ev_per_atom": -3.060,
  "total_magnetization_mub_per_fu": 0.000
}

# 4
{
  "formula": "KBN2F",
  "functional": "PBE",
  "state": "relaxed",
  "lattice": [[-1.186, 0.683, -2.905], [-1.467, -2.855, -0.072], [-5.140, 2.572, 2.704]],
  "species": ["N", "N", "F", "B", "K"],
  "frac_coords": [[0.000, 0.500, 0.000], [0.500, 0.000, 0.000], [0.000, 0.000, 0.500], [0.000, 0.000, 0.000], [0.500, 0.500, 0.500]],
  "crystal_system": "tetragonal",
  "formation_energy_uncorrected_ev_per_atom": 0.015,
  "total_magnetization_mub_per_fu": 0.345
}

# 5
{
  "formula": "Ca3GaAg",
  "functional": "PBE",
  "state": "relaxed",
  "lattice": [[-3.621, -3.129, 3.101], [-2.324, -2.053, -4.785], [3.742, -4.302, 0.028]],
  "species": ["Ca", "Ca", "Ca", "Ga", "Ag"],
  "frac_coords": [[0.500, 0.000, 0.000], [0.000, 0.000, 0.500], [0.000, 0.500, 0.000], [0.000, 0.000, 0.000], [0.500, 0.500, 0.500]],
  "crystal_system": "cubic",
  "final_energy_ev_per_atom": -2.373,
  "total_magnetization_mub_per_fu": 0.000
}

# 6
{
  "formula": "CsOF3",
  "functional": "PBE",
  "state": "relaxed",
  "lattice": [[-4.154, -0.571, 0.548], [-0.986, 2.370, -5.001], [0.821, -5.543, 0.441]],
  "species": ["F", "F", "F", "Cs", "O"],
  "frac_coords": [[0.500, 0.593, 0.050], [0.500, 0.950, 0.407], [0.000, 0.447, 0.553], [0.500, 0.048, 0.952], [0.000, 0.590, 0.410]],
  "crystal_system": "orthorhombic",
  "formation_energy_uncorrected_ev_per_atom": -0.803,
  "total_magnetization_mub_per_fu": 0.000
}

# 7
{
  "formula": "CsThAu2I8",
  "functional": "PBE",
  "state": "relaxed",
  "lattice": [[-6.468, -3.747, -0.318], [1.285, -4.764, -5.624], [2.924, -8.994, 5.996]],
  "species": ["I", "I", "I", "I", "I", "I", "I", "I", "Cs", "Th", "Au", "Au"],
  "frac_coords": [[0.267, 0.267, 0.000], [0.816, 0.267, 0.796], [0.184, 0.733, 0.204], [0.267, 0.816, 0.796], [0.344, 0.344, 0.537], [0.656, 0.656, 0.463], [0.733, 0.733, 0.000], [0.733, 0.184, 0.204], [0.000, 0.000, 0.500], [0.000, 0.000, 0.000], [0.763, 0.763, 0.233], [0.237, 0.237, 0.767]],
  "crystal_system": "monoclinic",
  "formation_energy_uncorrected_ev_per_atom": -0.748,
  "total_magnetization_mub_per_fu": 0.006
}

# 8
{
  "formula": "CoRu2Au",
  "functional": "PBE",
  "state": "relaxed",
  "lattice": [[-0.269, 1.141, 2.485], [1.728, -1.864, 1.043], [5.847, 4.594, -1.476]],
  "species": ["Ru", "Ru", "Co", "Au"],
  "frac_coords": [[0.500, 0.500, 0.227], [0.000, 0.000, 0.995], [0.500, 0.500, 0.766], [0.000, 0.000, 0.511]],
  "crystal_system": "tetragonal",
  "final_energy_ev_per_atom": -6.985,
  "total_magnetization_mub_per_fu": 1.631
}

# 9
{
  "formula": "Te2AsBr",
  "functional": "PBE",
  "state": "relaxed",
  "lattice": [[-5.912, 1.947, 4.729], [-5.114, -2.287, -5.451], [-5.499, -4.073, 1.263]],
  "species": ["Br", "Br", "Te", "Te", "Te", "Te", "As", "As"],
  "frac_coords": [[0.000, 0.000, 0.000], [0.750, 0.250, 0.500], [0.175, 0.625, 0.250], [0.875, 0.825, 0.750], [0.575, 0.125, 0.250], [0.375, 0.425, 0.750], [0.250, 0.750, 0.500], [0.500, 0.500, 0.000]],
  "crystal_system": "tetragonal",
  "formation_energy_uncorrected_ev_per_atom": 0.141,
  "total_magnetization_mub_per_fu": 0.000
}

# 10
{
  "formula": "Ac2MgAl3Ge4",
  "functional": "PBE",
  "state": "relaxed",
  "lattice": [[4.604, 0.000, 0.000], [0.000, 4.604, 0.000], [0.000, 0.000, 10.827]],
  "species": ["Al", "Al", "Al", "Ac", "Ac", "Ge", "Ge", "Ge", "Ge", "Mg"],
  "frac_coords": [[0.000, 0.000, 0.500], [0.000, 0.500, 0.113], [0.500, 0.000, 0.887], [0.500, 0.000, 0.234], [0.000, 0.500, 0.766], [0.000, 0.000, 0.000], [0.000, 0.500, 0.357], [0.500, 0.500, 0.000], [0.500, 0.000, 0.643], [0.500, 0.500, 0.500]],
  "crystal_system": "tetragonal",
  "final_energy_ev_per_atom": -4.335,
  "total_magnetization_mub_per_fu": 0.000
}

# 11
{
  "formula": "CsSiC2O8",
  "functional": "PBE",
  "state": "relaxed",
  "lattice": [[-4.207, 2.153, -0.575], [-3.853, -2.195, 0.262], [-3.153, 1.279, 8.143]],
  "species": ["O", "O", "O", "O", "O", "O", "O", "O", "Si", "C", "C", "Cs"],
  "frac_coords": [[0.779, 0.480, 0.963], [0.221, 0.520, 0.037], [0.339, 0.002, 0.847], [0.661, 0.998, 0.153], [0.188, 0.998, 0.153], [0.807, 0.694, 0.693], [0.812, 0.002, 0.847], [0.193, 0.306, 0.307], [0.000, 0.000, 0.000], [0.691, 0.777, 0.840], [0.309, 0.223, 0.160], [0.500, 0.500, 0.500]],
  "crystal_system": "monoclinic",
  "formation_energy_uncorrected_ev_per_atom": -1.166,
  "total_magnetization_mub_per_fu": 2.874
}

# 12
{
  "formula": "BaPaZnN3",
  "functional": "PBE",
  "state": "relaxed",
  "lattice": [[3.637, 0.000, 0.000], [0.000, 7.831, 0.860], [0.000, -2.795, 7.240]],
  "species": ["N", "N", "N", "N", "N", "N", "Pa", "Pa", "Zn", "Zn", "Ba", "Ba"],
  "frac_coords": [[0.750, 0.186, 0.532], [0.250, 0.531, 0.862], [0.250, 0.814, 0.468], [0.750, 0.837, 0.129], [0.250, 0.163, 0.871], [0.750, 0.469, 0.138], [0.250, 0.664, 0.160], [0.750, 0.336, 0.840], [0.750, 0.919, 0.396], [0.250, 0.081, 0.604], [0.750, 0.795, 0.763], [0.250, 0.205, 0.237]],
  "crystal_system": "monoclinic",
  "formation_energy_uncorrected_ev_per_atom": -0.953,
  "total_magnetization_mub_per_fu": 0.000
}